Computed, not measured: crystalline TaMnF2 at its relaxed geometry at the PBE+U level of DFT.

Output
Energy, eV per atom: -6.071

Cell: 6.0469 6.0469 6.0469 Å, 90.00 90.00 90.00°
Space group Fm-3m (No. 225)
Unique sites:
1 Ta 0.0000 0.0000 0.0000 x4
2 Mn 0.0000 0.0000 0.5000 x4
3 F 0.2500 0.2500 0.2500 x8